1.
Density functional theory data (GGA-PBEsol) for BaBeAu2 after structural relaxation.

Summary:
Its symmetry is No. 10. The calculation puts the density of states at the Fermi level at 2.479 states/eV/cell. The value obtained for the calculated formation energy is -179 meV per atom.

Cell and atoms, written as POSCAR:
```
BaBeAu2
1.0
-2.894 1.093 -1.942
1.967 -0.577 -3.257
-3.081 -5.780 1.338
Be Ba Au
1 1 2
direct
0.500 0.500 0.000
0.500 0.000 0.500
0.000 0.676 0.839
0.000 0.324 0.161
```



2.
Density functional theory data (GGA-PBEsol) for BaBe2Au after structural relaxation.

Summary:
Its symmetry is No. 123. The calculation puts the density of states at the Fermi level at 2.435 states/eV/cell. The value obtained for the calculated formation energy is 796 meV per atom.

Cell and atoms, written as POSCAR:
```
BaBe2Au
1.0
3.055 0.000 0.000
0.000 4.910 0.000
0.000 0.000 4.910
Ba Be Au
1 2 1
direct
0.500 0.000 0.000
0.000 0.500 0.000
0.000 0.000 0.500
0.500 0.500 0.500
```



Question: Among the records above, which one has the highest calculated formation energy?
Answer: BaBe2Au



Copy entry 2 word for word.
Density functional theory data (GGA-PBEsol) for BaBe2Au after structural relaxation.

Summary:
Its symmetry is No. 123. The calculation puts the density of states at the Fermi level at 2.435 states/eV/cell. The value obtained for the calculated formation energy is 796 meV per atom.

Cell and atoms, written as POSCAR:
```
BaBe2Au
1.0
3.055 0.000 0.000
0.000 4.910 0.000
0.000 0.000 4.910
Ba Be Au
1 2 1
direct
0.500 0.000 0.000
0.000 0.500 0.000
0.000 0.000 0.500
0.500 0.500 0.500
```



Question: calculated formation energy of number 2 (BaBe2Au)?
Answer: 796 meV per atom